No. 1
Compound: CaB2F
Source: the Alexandria database
Functional: PBE
Structure: relaxed

raw formation energy	-958	meV per atom
symmetry	I4_1/amd (141)
excess energy over the best structure of this formula in the dataset	0	meV/atom

Cell: 11.249 11.249 11.249 Å, 163.58 163.58 23.30°
Element x y z (fractional)
Ca 0.375 0.625 0.750
Ca 0.625 0.375 0.250
B 0.000 0.000 0.000
B 0.000 0.000 0.500
B 0.000 0.500 0.000
B 0.500 0.000 0.500
F 0.125 0.875 0.250
F 0.875 0.125 0.750

***

No. 2
Compound: CaBF5
Source: the Alexandria database
Functional: PBE
Structure: relaxed

raw formation energy	-3330	meV per atom
symmetry	C2/c (15)
excess energy over the best structure of this formula in the dataset	0	meV/atom

Cell: 5.645 5.645 8.126 Å, 110.61 110.61 87.42°
Element x y z (fractional)
Ca 0.000 0.500 0.000
Ca 0.500 0.000 0.500
B 0.136 0.864 0.750
B 0.864 0.136 0.250
F 0.110 0.171 0.391
F 0.157 0.678 0.832
F 0.171 0.110 0.891
F 0.322 0.843 0.668
F 0.332 0.668 0.250
F 0.668 0.332 0.750
F 0.678 0.157 0.332
F 0.829 0.890 0.109
F 0.843 0.322 0.168
F 0.890 0.829 0.609

***

No. 3
Compound: CaBF2
Source: the Alexandria database
Functional: PBE
Structure: relaxed

raw formation energy	-1194	meV per atom
symmetry	Fm-3m (225)
excess energy over the best structure of this formula in the dataset	325	meV/atom

Cell: 4.221 4.221 4.221 Å, 60.00 60.00 60.00°
Element x y z (fractional)
Ca 0.000 0.000 0.000
B 0.500 0.500 0.500
F 0.250 0.250 0.250
F 0.750 0.750 0.750

***

No. 4
Compound: CaBF3
Source: the Alexandria database
Functional: PBE
Structure: relaxed

raw formation energy	-1710	meV per atom
symmetry	Pm-3m (221)
excess energy over the best structure of this formula in the dataset	0	meV/atom

Cell: 4.408 4.408 4.408 Å, 90.00 90.00 90.00°
Element x y z (fractional)
Ca 0.000 0.000 0.000
B 0.500 0.500 0.500
F 0.000 0.000 0.500
F 0.000 0.500 0.000
F 0.500 0.000 0.000

***

No. 5
Compound: CaBF2
Source: the Alexandria database
Functional: PBE
Structure: relaxed

raw formation energy	-1519	meV per atom
symmetry	R-3m (166)
excess energy over the best structure of this formula in the dataset	0	meV/atom

Cell: 7.041 7.041 7.041 Å, 29.36 29.36 29.36°
Element x y z (fractional)
Ca 0.000 0.000 0.000
B 0.500 0.500 0.500
F 0.380 0.380 0.380
F 0.620 0.620 0.620

***

No. 6
Compound: CaBF2
Source: the Alexandria database
Functional: PBE
Structure: relaxed

raw formation energy	-1284	meV per atom
symmetry	I-42d (122)
excess energy over the best structure of this formula in the dataset	235	meV/atom

Cell: 6.783 6.783 6.783 Å, 126.50 126.50 79.06°
Element x y z (fractional)
Ca 0.000 0.000 0.000
Ca 0.750 0.250 0.500
B 0.250 0.750 0.500
B 0.500 0.500 0.000
F 0.000 0.625 0.875
F 0.375 0.250 0.375
F 0.750 0.125 0.125
F 0.875 0.000 0.625

***

No. 7
Compound: Ca3BF
Source: the Alexandria database
Functional: PBE
Structure: relaxed

raw formation energy	-584	meV per atom
symmetry	Pm-3m (221)

Cell: 4.684 4.684 4.684 Å, 90.00 90.00 90.00°
Element x y z (fractional)
Ca 0.000 0.000 0.500
Ca 0.000 0.500 0.000
Ca 0.500 0.000 0.000
B 0.500 0.500 0.500
F 0.000 0.000 0.000

***

No. 8
Compound: CaHfB2F
Source: the Alexandria database
Functional: PBE
Structure: relaxed

raw formation energy	721	meV per atom
symmetry	P4/mmm (123)

Cell: 4.278 4.278 6.774 Å, 90.00 90.00 90.00°
Element x y z (fractional)
Ca 0.000 0.000 0.000
Hf 0.000 0.000 0.500
B 0.000 0.500 0.500
B 0.500 0.000 0.500
F 0.500 0.500 0.000

***

No. 9
Compound: CaHgBF6
Source: the Alexandria database
Functional: PBE
Structure: relaxed

raw formation energy	-2372	meV per atom
symmetry	P312 (149)

Cell: 5.408 5.408 5.371 Å, 90.00 90.00 120.00°
Element x y z (fractional)
Ca 0.000 0.000 0.000
Hg 0.667 0.333 0.500
B 0.333 0.667 0.000
F 0.087 0.416 0.177
F 0.087 0.671 0.823
F 0.329 0.416 0.823
F 0.329 0.913 0.177
F 0.584 0.671 0.177
F 0.584 0.913 0.823

***

No. 10
Compound: CaBIF4
Source: the Alexandria database
Functional: PBE
Structure: relaxed

raw formation energy	-2830	meV per atom
symmetry	C2/m (12)

Cell: 6.094 6.094 9.473 Å, 111.10 111.10 65.49°
Element x y z (fractional)
Ca 0.213 0.213 0.222
Ca 0.787 0.787 0.778
B 0.386 0.386 0.657
B 0.614 0.614 0.343
I 0.122 0.122 0.872
I 0.878 0.878 0.128
F 0.157 0.508 0.700
F 0.339 0.339 0.493
F 0.461 0.461 0.270
F 0.492 0.843 0.300
F 0.508 0.157 0.700
F 0.539 0.539 0.730
F 0.661 0.661 0.507
F 0.843 0.492 0.300

***

No. 11
Compound: CaIn2BF
Source: the Alexandria database
Functional: PBE
Structure: relaxed

raw formation energy	239	meV per atom
symmetry	P4/mmm (123)

Cell: 6.165 6.165 4.105 Å, 90.00 90.00 90.00°
Element x y z (fractional)
Ca 0.000 0.000 0.000
In 0.000 0.500 0.000
In 0.500 0.000 0.000
B 0.500 0.500 0.500
F 0.000 0.000 0.500

***

No. 12
Compound: KCaBF6
Source: the Alexandria database
Functional: PBE
Structure: relaxed

raw formation energy	-2895	meV per atom
symmetry	P312 (149)

Cell: 5.372 5.372 5.446 Å, 90.00 90.00 120.00°
Element x y z (fractional)
K 0.000 0.000 0.000
Ca 0.333 0.667 0.500
B 0.667 0.333 0.500
F 0.418 0.082 0.676
F 0.418 0.336 0.324
F 0.664 0.082 0.324
F 0.664 0.582 0.676
F 0.918 0.336 0.676
F 0.918 0.582 0.324

***

no.,N(E_F) (states/eV per cell)
1,2.445
2,0.000
3,1.977
4,0.000
5,1.127
6,1.409
7,0.010
8,3.896
9,2.541
10,0.000
11,4.316
12,0.000